# IrPbIO2 (PBE, optimized geometry)
data_IrPbIO2
_symmetry_space_group_name_H-M 'P 4/m m m'
_symmetry_Int_Tables_number 123
_symmetry_space_group_name_Hall '-P 4 2'
_cell_length_a 4.239
_cell_length_b 4.239
_cell_length_c 5.379
_cell_angle_alpha 90.00
_cell_angle_beta 90.00
_cell_angle_gamma 90.00
loop_
_atom_site_label
_atom_site_fract_x
_atom_site_fract_y
_atom_site_fract_z
_atom_site_occupancy
Ir1 0.000 0.000 0.000 1
Pb1 0.500 0.500 0.500 1
I1 0.000 0.000 0.500 1
O1 0.000 0.500 0.000 1
# density of states at the Fermi level = 0.801 states/eV/atom

# IrPdI2O (PBE, optimized geometry)
data_IrPdI2O
_symmetry_space_group_name_H-M 'P 4/m m m'
_symmetry_Int_Tables_number 123
_symmetry_space_group_name_Hall '-P 4 2'
_cell_length_a 5.443
_cell_length_b 5.443
_cell_length_c 3.737
_cell_angle_alpha 90.00
_cell_angle_beta 90.00
_cell_angle_gamma 90.00
loop_
_atom_site_label
_atom_site_fract_x
_atom_site_fract_y
_atom_site_fract_z
_atom_site_occupancy
Ir1 0.000 0.000 0.000 1
Pd1 0.500 0.500 0.500 1
I1 0.000 0.500 0.500 1
O1 0.500 0.500 0.000 1
# density of states at the Fermi level = 1.744 states/eV/atom

# IrPdI2O (PBE, optimized geometry)
data_IrPdI2O
_symmetry_space_group_name_H-M 'P 4/m m m'
_symmetry_Int_Tables_number 123
_symmetry_space_group_name_Hall '-P 4 2'
_cell_length_a 5.570
_cell_length_b 5.570
_cell_length_c 3.712
_cell_angle_alpha 90.00
_cell_angle_beta 90.00
_cell_angle_gamma 90.00
loop_
_atom_site_label
_atom_site_fract_x
_atom_site_fract_y
_atom_site_fract_z
_atom_site_occupancy
Ir1 0.000 0.000 0.000 1
Pd1 0.500 0.500 0.500 1
I1 0.000 0.500 0.000 1
O1 0.000 0.000 0.500 1
# density of states at the Fermi level = 1.197 states/eV/atom

# IrPtIO2 (PBE, optimized geometry)
data_IrPtIO2
_symmetry_space_group_name_H-M 'P 4/m m m'
_symmetry_Int_Tables_number 123
_symmetry_space_group_name_Hall '-P 4 2'
_cell_length_a 3.755
_cell_length_b 3.755
_cell_length_c 8.561
_cell_angle_alpha 90.00
_cell_angle_beta 90.00
_cell_angle_gamma 90.00
loop_
_atom_site_label
_atom_site_fract_x
_atom_site_fract_y
_atom_site_fract_z
_atom_site_occupancy
Ir1 0.000 0.000 0.000 1
Pt1 0.500 0.500 0.500 1
I1 0.000 0.000 0.500 1
O1 0.000 0.500 0.000 1
# density of states at the Fermi level = 1.385 states/eV/atom

Number 1: final energy -4.70 eV per atom, density 9.59 g cm⁻³. Number 2: final energy -3.57 eV per atom, density 8.53 g cm⁻³. Number 3: final energy -4.23 eV per atom, density 8.19 g cm⁻³. Number 4: final energy -5.31 eV per atom, density 7.51 g cm⁻³.